## TbNb5 (PBE-GGA)

Data for an optimized crystal structure of TbNb5.

Geometry as POSCAR:
```
TbNb5
1.0
2.480 -7.159 0.000
2.480 7.159 0.000
0.000 0.000 3.346
Tb Nb
1 5
Direct
0.000 0.000 0.000
0.182 0.818 0.500
0.334 0.666 0.000
0.500 0.500 0.500
0.666 0.334 0.000
0.818 0.182 0.500
```

As for the crystal system: orthorhombic. Its magnetic moment is 0.00 Bohr magnetons per cell.


## ZrZnAg (PBE-GGA)

Data for an optimized crystal structure of ZrZnAg.

Geometry as POSCAR:
```
ZrZnAg
1.0
2.979 0.000 0.000
-1.489 2.580 0.000
0.000 0.000 7.310
Zr Zn Ag
1 1 1
Direct
0.000 0.000 0.000
0.333 0.667 0.664
0.667 0.333 0.355
```

As for the crystal system: trigonal. Its magnetic moment is 0.00 Bohr magnetons per cell.


no.,ΔH_f (0 K) (eV per atom)
1,0.21
2,0.03